#w
Material: AgTe2RhI
Method: DFT, PBE-GGA
State: relaxed

Properties
- SG: P4/mmm
- Spin magnetization: 0.000 μB/atom

Cell: 5.193 5.193 5.617 Å, 90.00 90.00 90.00°
Element x y z (fractional)
Rh: 0.000 0.000 0.000
Ag: 0.500 0.500 0.500
I: 0.000 0.000 0.500
Te: 0.500 0.000 0.000
Te: 0.000 0.500 0.000



#x
Material: AgTe2RhI
Method: DFT, PBE-GGA
State: relaxed

Properties
- SG: P4/mmm
- Spin magnetization: 0.502 μB/atom

Cell: 5.395 5.395 5.599 Å, 90.00 90.00 90.00°
Each line ends with the local moment (μB).
Element x y z (fractional)
I: 0.000 0.000 0.500  0.14
Rh: 0.500 0.500 0.500  1.54
Te: 0.000 0.500 0.000  0.20
Te: 0.500 0.000 0.000  0.20
Ag: 0.000 0.000 0.000  0.01



The structure with the most favorable energy is #w; the runner-up is 0.665 eV/atom above it.



#w
Material: Ag4S2I
Method: DFT, PBE-GGA
State: relaxed

Properties
- SG: Pmma
- Spin magnetization: 0.000 μB/atom

Cell: 3.968 12.047 14.429 Å, 90.00 90.00 90.00°
Element x y z (fractional)
I: 0.500 0.750 0.123
I: 0.500 0.250 0.377
I: 0.500 0.250 0.877
I: 0.500 0.750 0.623
S: 0.001 0.051 0.148
S: 0.999 0.051 0.648
S: 0.999 0.551 0.852
S: 0.001 0.949 0.352
S: 0.999 0.949 0.852
S: 0.001 0.449 0.148
S: 0.001 0.551 0.352
S: 0.999 0.449 0.648
Ag: 0.000 0.383 0.981
Ag: 0.000 0.883 0.519
Ag: 0.999 0.750 0.847
Ag: 0.001 0.250 0.153
Ag: 0.000 0.383 0.481
Ag: 0.000 0.117 0.481
Ag: 0.000 0.617 0.519
Ag: 0.499 0.500 0.750
Ag: 0.501 0.500 0.250
Ag: 0.000 0.883 0.019
Ag: 0.000 0.117 0.981
Ag: 0.499 0.000 0.750
Ag: 0.001 0.750 0.347
Ag: 0.000 0.617 0.019
Ag: 0.999 0.250 0.653
Ag: 0.501 0.000 0.250



#x
Material: Ag4S2I
Method: DFT, PBE-GGA
State: relaxed

Properties
- SG: Cmcm
- Spin magnetization: 0.000 μB/atom

Cell: 3.848 7.060 12.078 Å, 90.00 90.00 105.81°
Element x y z (fractional)
Ag: 0.751 0.503 0.382
Ag: 0.883 0.766 0.750
Ag: 0.249 0.497 0.882
Ag: 0.500 0.000 0.500
Ag: 0.500 0.000 0.000
Ag: 0.249 0.497 0.618
Ag: 0.751 0.503 0.118
Ag: 0.117 0.234 0.250
I: 0.620 0.240 0.750
I: 0.380 0.760 0.250
S: 0.118 0.236 0.050
S: 0.882 0.764 0.950
S: 0.882 0.764 0.550
S: 0.118 0.236 0.450



The structure with the most favorable energy is #w; the runner-up is 0.021 eV/atom above it.



#w
Material: Ag4SI
Method: DFT, PBE-GGA
State: relaxed

Properties
- SG: C2/c
- Spin magnetization: 0.000 μB/atom

Cell: 4.346 7.167 10.201 Å, 109.56 100.70 94.46°
Element x y z (fractional)
S: 0.070 0.820 0.639
S: 0.930 0.180 0.361
Ag: 0.067 0.184 0.112
Ag: 0.814 0.115 0.585
Ag: 0.546 0.928 0.112
Ag: 0.186 0.885 0.415
Ag: 0.933 0.816 0.888
Ag: 0.454 0.072 0.888
Ag: 0.729 0.530 0.415
Ag: 0.271 0.470 0.585
I: 0.342 0.592 0.184
I: 0.658 0.408 0.816



#x
Material: Ag4SI
Method: DFT, PBE-GGA
State: relaxed

Properties
- SG: C2/m
- Spin magnetization: 0.000 μB/atom

Cell: 4.930 4.930 6.641 Å, 92.24 92.24 72.32°
Element x y z (fractional)
Ag: 0.853 0.853 0.369
Ag: 0.000 0.500 0.000
Ag: 0.147 0.147 0.631
Ag: 0.500 0.000 0.000
I: 0.500 0.500 0.500
S: 0.000 0.000 0.000



The structure with the most favorable energy is #w; the runner-up is 0.113 eV/atom above it.